(1)
## In12As3I5 (PBE-GGA)

Data for In12As3I5 after structural relaxation.

Geometry as extended XYZ:
```
80
Lattice="-9.512 9.512 9.512 9.512 -9.512 9.512 9.512 9.512 -9.512" Properties=species:S:1:pos:R:3 pbc="T T T"
In 12.658 -0.247 1.119
In 11.122 -3.637 4.509
In 3.146 0.247 1.119
In 11.122 5.875 -4.509
In 9.759 -1.119 3.146
In 14.020 -1.610 3.637
In 5.875 4.509 -1.610
In 8.392 3.146 -0.247
In 1.119 3.146 0.247
In 13.148 5.003 -1.610
In 0.247 1.119 3.146
In 4.509 -1.610 5.875
In 9.759 8.392 -3.146
In 4.509 1.610 3.637
In 3.637 4.509 1.610
In 10.631 6.366 -0.247
In 5.875 -4.509 11.122
In 8.392 -3.146 9.759
In 4.509 11.122 -3.637
In 9.759 1.119 6.366
In 1.610 3.637 4.509
In 3.146 -0.247 8.392
In 3.146 9.759 -1.119
In 11.122 3.637 5.003
In -1.610 5.875 4.509
In 6.366 -0.247 10.631
In 6.366 9.759 1.119
In 7.902 5.875 5.003
In -0.247 8.392 3.146
In 5.003 -1.610 13.148
In 1.119 12.658 -0.247
In 3.637 14.020 -1.610
In -1.119 3.146 9.759
In 5.875 5.003 7.902
In 5.003 7.902 5.875
In -0.247 1.119 12.658
In 5.003 11.122 3.637
In 9.264 8.392 6.366
In -3.637 4.509 11.122
In 8.392 6.366 9.264
In 1.119 6.366 9.759
In 3.637 5.003 11.122
In -4.509 11.122 5.875
In -0.247 10.631 6.366
In -1.610 3.637 14.020
In 6.366 9.264 8.392
In -1.610 13.148 5.003
In -3.146 9.759 8.392
As 4.756 2.378 0.000
As 9.512 4.756 -2.378
As 2.378 0.000 4.756
As 11.890 0.000 4.756
As 0.000 4.756 2.378
As 4.756 -2.378 9.512
As 4.756 11.890 0.000
As 9.512 4.756 7.134
As -2.378 9.512 4.756
As 7.134 9.512 4.756
As 0.000 4.756 11.890
As 4.756 7.134 9.512
I 0.000 0.000 0.000
I 4.756 4.756 -4.756
I 4.756 -4.756 4.756
I 9.512 0.000 0.000
I 14.268 2.378 0.000
I 9.512 -4.756 7.134
I 7.134 9.512 -4.756
I 7.134 0.000 4.756
I 4.756 7.134 0.000
I 9.512 4.756 2.378
I -4.756 4.756 4.756
I 0.000 9.512 0.000
I 0.000 0.000 9.512
I 4.756 4.756 4.756
I 0.000 4.756 7.134
I 4.756 2.378 9.512
I 2.378 9.512 4.756
I 2.378 0.000 14.268
I 0.000 14.268 2.378
I -4.756 7.134 9.512
```

N(E_F) (states/eV per cell): 31.4
Raw formation energy (meV per atom): 19
Space-group type: Ia-3d (230)

***

(2)
## In2AsI (PBE-GGA)

Data for In2AsI after structural relaxation.

Geometry as extended XYZ:
```
4
Lattice="0.000 3.835 3.835 3.835 0.000 3.835 3.835 3.835 0.000" Properties=species:S:1:pos:R:3 pbc="T T T"
In 1.918 1.918 1.918
In 5.753 5.753 5.753
As 0.000 0.000 0.000
I 3.835 3.835 3.835
```

N(E_F) (states/eV per cell): 1.4
Raw formation energy (meV per atom): 104
Space-group type: Fm-3m (225)

***

(3)
## InAsI3 (PBE-GGA)

Data for InAsI3 after structural relaxation.

Geometry as extended XYZ:
```
5
Lattice="5.962 0.000 0.000 0.000 5.962 0.000 0.000 0.000 5.962" Properties=species:S:1:pos:R:3 pbc="T T T"
In 0.000 0.000 0.000
As 2.981 2.981 2.981
I 0.000 0.000 2.981
I 0.000 2.981 0.000
I 2.981 0.000 0.000
```

N(E_F) (states/eV per cell): 8.3
Offset from the most stable computed form (meV/atom): 443.8
Raw formation energy (meV per atom): 319
Space-group type: Pm-3m (221)

***

(4)
## In2As2I (PBE-GGA)

Data for In2As2I after structural relaxation.

Geometry as extended XYZ:
```
5
Lattice="-1.986 1.986 8.987 1.986 -1.986 8.987 1.986 1.986 -8.987" Properties=species:S:1:pos:R:3 pbc="T T T"
In 0.000 0.000 2.095
In 0.000 0.000 15.878
As 1.986 0.000 4.493
As 0.000 1.986 4.493
I 0.000 0.000 8.987
```

N(E_F) (states/eV per cell): 2.3
Offset from the most stable computed form (meV/atom): 139.0
Raw formation energy (meV per atom): -17
Space-group type: I4/mmm (139)

***

(5)
## In2As2I (PBE-GGA)

Data for In2As2I after structural relaxation.

Geometry as extended XYZ:
```
10
Lattice="9.137 0.000 0.000 0.000 9.137 0.000 0.000 0.000 3.116" Properties=species:S:1:pos:R:3 pbc="T T T"
In 1.451 3.117 0.000
In 3.117 7.686 0.000
In 6.020 1.451 0.000
In 7.686 6.020 0.000
As 1.201 5.770 1.558
As 3.367 1.201 1.558
As 5.770 7.936 1.558
As 7.936 3.367 1.558
I 0.000 0.000 0.000
I 4.568 4.568 0.000
```

N(E_F) (states/eV per cell): 5.1
Offset from the most stable computed form (meV/atom): 344.7
Raw formation energy (meV per atom): 189
Space-group type: P4/mbm (127)

***

(6)
## K2InAsI6 (PBE-GGA)

Data for K2InAsI6 after structural relaxation.

Geometry as extended XYZ:
```
10
Lattice="4.228 2.441 7.149 -4.228 2.441 7.149 0.000 -4.882 7.149" Properties=species:S:1:pos:R:3 pbc="T T T"
K 0.000 0.000 0.000
K 0.000 0.000 10.583
In 0.000 0.000 4.535
As 0.000 0.000 15.175
I -1.901 -2.967 9.666
I -2.315 0.470 13.431
I -1.619 3.130 9.666
I 0.750 -2.239 13.431
I 3.520 -0.163 9.666
I 1.564 1.769 13.431
```

Raw formation energy (meV per atom): -743
Space-group type: R3 (146)